The following is a DFT calculation (PBE) of a geometry-optimized BaCd2Cu structure.

The structure in POSCAR format:
```
BaCd2Cu
1.0
5.465 -0.031 -0.010
-0.076 5.465 0.010
-2.186 -3.221 3.836
Ba Cd Cu
1 2 1
Cartesian
0.233 2.497 1.923
5.124 5.166 0.000
2.827 -0.430 1.913
3.104 3.129 0.000
```

Magnetic moment (μB/cell): 0.000

---

The following is a DFT calculation (PBE) of a geometry-optimized Ba2CdCu2 structure.

The structure in POSCAR format:
```
Ba2CdCu2
1.0
-4.986 0.513 -3.779
1.838 -5.127 -3.120
-3.694 -4.582 -0.961
Ba Cu Cd
2 2 1
Cartesian
-5.128 -3.188 -4.094
-1.716 -6.008 -3.765
-2.206 -2.985 -2.708
-4.637 -6.211 -5.152
0.000 0.000 0.000
```

Magnetic moment (μB/cell): 0.000

---

The following is a DFT calculation (PBE) of a geometry-optimized BaCd2Cu structure.

The structure in POSCAR format:
```
BaCd2Cu
1.0
4.771 0.008 -0.014
2.387 4.131 -0.014
2.397 1.386 5.859
Ba Cd Cu
1 2 1
Cartesian
2.386 1.380 1.555
2.396 1.385 5.046
7.166 4.144 3.988
4.782 2.765 4.016
```

Magnetic moment (μB/cell): 0.000

---

The following is a DFT calculation (PBE) of a geometry-optimized Ba6CdCu2 structure.

The structure in POSCAR format:
```
Ba6CdCu2
1.0
-3.378 -1.852 -9.226
7.620 -5.890 2.681
-7.384 -1.749 6.510
Ba Cd Cu
12 2 4
Cartesian
-2.437 -6.708 2.260
-0.704 -2.783 -2.296
-4.320 -3.271 5.165
1.179 -6.220 -5.200
-1.198 -6.961 -1.768
-1.943 -2.530 1.733
-1.822 -6.448 6.447
-1.319 -3.043 -6.483
-4.558 -4.525 -1.006
1.417 -4.967 0.970
1.497 -7.559 4.089
-4.638 -1.932 -4.125
0.118 -3.820 4.595
0.000 0.000 0.000
-5.287 -4.823 2.278
2.146 -4.668 -2.314
-7.202 -2.410 -1.818
-3.559 -1.191 -0.898
```

Magnetic moment (μB/cell): 0.001

---

| no. | DFT total energy (eV per atom) | ΔE_f (meV per atom) |
| --- | --- | --- |
| 1 | -2.01 | -48 |
| 2 | -2.59 | 0 |
| 3 | -2.11 | -152 |
| 4 | -2.35 | -59 |